1) PbIBrO2 after structural relaxation. Source: the Alexandria database, functional PBE.

Computed properties:
As for the magnetization: 0.08 μB per atom.

Cell lengths 4.2611, 4.2611, 7.4508 Å; angles 90.00, 90.00, 90.00 degrees
Space group P4/mmm (No. 123)
Inequivalent atoms, fractional coordinates:
Pb 0.0000 0.0000 0.0000 (multiplicity 1)
I 0.0000 0.0000 0.5000 (multiplicity 1)
Br 0.5000 0.5000 0.5000 (multiplicity 1)
O 0.0000 0.5000 0.0000 (multiplicity 2)

2) PbIBrO2 after structural relaxation. Source: the Alexandria database, functional PBE.

Computed properties:
As for the magnetization: 0.00 μB per atom.

Cell lengths 4.2927, 4.2927, 6.5339 Å; angles 90.00, 90.00, 90.00 degrees
Space group P4/mmm (No. 123)
Inequivalent atoms, fractional coordinates:
Pb 0.0000 0.0000 0.0000 (multiplicity 1)
I 0.5000 0.5000 0.0000 (multiplicity 1)
Br 0.5000 0.5000 0.5000 (multiplicity 1)
O 0.0000 0.5000 0.5000 (multiplicity 2)

Most stable to least stable, the ends of the list are 1) and 2).

1) PdI2BrO after structural relaxation. Source: the Alexandria database, functional PBE.

Computed properties:
As for the magnetization: 0.28 μB per atom.

Cell lengths 5.7544, 5.7544, 3.8643 Å; angles 90.00, 90.00, 90.00 degrees
Space group P4/mmm (No. 123)
Inequivalent atoms, fractional coordinates:
Pd 0.0000 0.0000 0.0000 (multiplicity 1)
I 0.0000 0.5000 0.0000 (multiplicity 2)
Br 0.5000 0.5000 0.5000 (multiplicity 1)
O 0.0000 0.0000 0.5000 (multiplicity 1)

2) PdI2BrO after structural relaxation. Source: the Alexandria database, functional PBE.

Computed properties:
As for the magnetization: 0.15 μB per atom.

Cell lengths 5.7748, 5.7748, 3.9458 Å; angles 90.00, 90.00, 90.00 degrees
Space group P4/mmm (No. 123)
Inequivalent atoms, fractional coordinates:
Pd 0.0000 0.0000 0.0000 (multiplicity 1)
I 0.0000 0.5000 0.5000 (multiplicity 2)
Br 0.5000 0.5000 0.5000 (multiplicity 1)
O 0.5000 0.5000 0.0000 (multiplicity 1)

Most stable to least stable, the ends of the list are 1) and 2).

1) PtI2BrO after structural relaxation. Source: the Alexandria database, functional PBE.

Computed properties:
As for the magnetization: 0.08 μB per atom.

Cell lengths 5.7033, 5.7033, 3.8948 Å; angles 90.00, 90.00, 90.00 degrees
Space group P4/mmm (No. 123)
Inequivalent atoms, fractional coordinates:
Pt 0.0000 0.0000 0.0000 (multiplicity 1)
I 0.0000 0.5000 0.5000 (multiplicity 2)
Br 0.5000 0.5000 0.5000 (multiplicity 1)
O 0.5000 0.5000 0.0000 (multiplicity 1)

2) PtI2BrO after structural relaxation. Source: the Alexandria database, functional PBE.

Computed properties:
As for the magnetization: 0.06 μB per atom.

Cell lengths 5.8354, 5.8354, 3.7772 Å; angles 90.00, 90.00, 90.00 degrees
Space group P4/mmm (No. 123)
Inequivalent atoms, fractional coordinates:
Pt 0.0000 0.0000 0.0000 (multiplicity 1)
I 0.0000 0.5000 0.0000 (multiplicity 2)
Br 0.5000 0.5000 0.5000 (multiplicity 1)
O 0.0000 0.0000 0.5000 (multiplicity 1)

Most stable to least stable, the ends of the list are 2) and 1).

1) ReI2BrO after structural relaxation. Source: the Alexandria database, functional PBE.

Computed properties:
As for the magnetization: 0.00 μB per atom.

Cell lengths 5.6335, 5.6335, 3.7812 Å; angles 90.00, 90.00, 90.00 degrees
Space group P4/mmm (No. 123)
Inequivalent atoms, fractional coordinates:
Re 0.0000 0.0000 0.0000 (multiplicity 1)
I 0.0000 0.5000 0.0000 (multiplicity 2)
Br 0.5000 0.5000 0.5000 (multiplicity 1)
O 0.0000 0.0000 0.5000 (multiplicity 1)

2) ReI2BrO after structural relaxation. Source: the Alexandria database, functional PBE.

Computed properties:
As for the magnetization: 0.98 μB per atom.

Cell lengths 5.9985, 5.9985, 3.9626 Å; angles 90.00, 90.00, 90.00 degrees
Space group P4/mmm (No. 123)
Inequivalent atoms, fractional coordinates:
Re 0.0000 0.0000 0.0000 (multiplicity 1)
I 0.0000 0.5000 0.5000 (multiplicity 2)
Br 0.5000 0.5000 0.5000 (multiplicity 1)
O 0.5000 0.5000 0.0000 (multiplicity 1)

Most stable to least stable, the ends of the list are 1) and 2).

1) RuIBrO2 after structural relaxation. Source: the Alexandria database, functional PBE.

Computed properties:
As for the magnetization: 0.00 μB per atom.

Cell lengths 3.9647, 3.9647, 5.7791 Å; angles 90.00, 90.00, 90.00 degrees
Space group P4/mmm (No. 123)
Inequivalent atoms, fractional coordinates:
Ru 0.0000 0.0000 0.0000 (multiplicity 1)
I 0.0000 0.0000 0.5000 (multiplicity 1)
Br 0.5000 0.5000 0.5000 (multiplicity 1)
O 0.0000 0.5000 0.0000 (multiplicity 2)

2) RuIBrO2 after structural relaxation. Source: the Alexandria database, functional PBE.

Computed properties:
As for the magnetization: 0.36 μB per atom.

Cell lengths 3.8624, 3.8624, 7.2700 Å; angles 90.00, 90.00, 90.00 degrees
Space group P4/mmm (No. 123)
Inequivalent atoms, fractional coordinates:
Ru 0.0000 0.0000 0.0000 (multiplicity 1)
I 0.5000 0.5000 0.0000 (multiplicity 1)
Br 0.5000 0.5000 0.5000 (multiplicity 1)
O 0.0000 0.5000 0.5000 (multiplicity 2)

Most stable to least stable, the ends of the list are 1) and 2).

1) RuI2BrO after structural relaxation. Source: the Alexandria database, functional PBE.

Computed properties:
As for the magnetization: 0.59 μB per atom.

Cell lengths 5.8400, 5.8400, 3.9342 Å; angles 90.00, 90.00, 90.00 degrees
Space group P4/mmm (No. 123)
Inequivalent atoms, fractional coordinates:
Ru 0.0000 0.0000 0.0000 (multiplicity 1)
I 0.0000 0.5000 0.5000 (multiplicity 2)
Br 0.5000 0.5000 0.5000 (multiplicity 1)
O 0.5000 0.5000 0.0000 (multiplicity 1)

2) RuI2BrO after structural relaxation. Source: the Alexandria database, functional PBE.

Computed properties:
As for the magnetization: 0.00 μB per atom.

Cell lengths 5.6576, 5.6576, 3.7354 Å; angles 90.00, 90.00, 90.00 degrees
Space group P4/mmm (No. 123)
Inequivalent atoms, fractional coordinates:
Ru 0.0000 0.0000 0.0000 (multiplicity 1)
I 0.0000 0.5000 0.0000 (multiplicity 2)
Br 0.5000 0.5000 0.5000 (multiplicity 1)
O 0.0000 0.0000 0.5000 (multiplicity 1)

Most stable to least stable, the ends of the list are 2) and 1).

1) SI2BrO after structural relaxation. Source: the Alexandria database, functional PBE.

Computed properties:
As for the magnetization: 0.49 μB per atom.

Cell lengths 5.9376, 5.9376, 4.0016 Å; angles 90.00, 90.00, 90.00 degrees
Space group P4/mmm (No. 123)
Inequivalent atoms, fractional coordinates:
S 0.0000 0.0000 0.0000 (multiplicity 1)
I 0.0000 0.5000 0.5000 (multiplicity 2)
Br 0.5000 0.5000 0.5000 (multiplicity 1)
O 0.5000 0.5000 0.0000 (multiplicity 1)

2) SI2BrO after structural relaxation. Source: the Alexandria database, functional PBE.

Computed properties:
As for the magnetization: 0.00 μB per atom.

Cell lengths 6.0829, 6.0829, 3.4754 Å; angles 90.00, 90.00, 90.00 degrees
Space group P4/mmm (No. 123)
Inequivalent atoms, fractional coordinates:
S 0.0000 0.0000 0.0000 (multiplicity 1)
I 0.0000 0.5000 0.0000 (multiplicity 2)
Br 0.5000 0.5000 0.5000 (multiplicity 1)
O 0.0000 0.0000 0.5000 (multiplicity 1)

Most stable to least stable, the ends of the list are 2) and 1).

1) SnIBrO2 after structural relaxation. Source: the Alexandria database, functional PBE.

Computed properties:
As for the magnetization: 0.00 μB per atom.

Cell lengths 4.0974, 4.0974, 6.8707 Å; angles 90.00, 90.00, 90.00 degrees
Space group P4/mmm (No. 123)
Inequivalent atoms, fractional coordinates:
Sn 0.0000 0.0000 0.0000 (multiplicity 1)
I 0.5000 0.5000 0.5000 (multiplicity 1)
Br 0.0000 0.0000 0.5000 (multiplicity 1)
O 0.0000 0.5000 0.0000 (multiplicity 2)

2) SnIBrO2 after structural relaxation. Source: the Alexandria database, functional PBE.

Computed properties:
As for the magnetization: 0.00 μB per atom.

Cell lengths 4.2312, 4.2312, 6.5192 Å; angles 90.00, 90.00, 90.00 degrees
Space group P4/mmm (No. 123)
Inequivalent atoms, fractional coordinates:
Sn 0.0000 0.0000 0.0000 (multiplicity 1)
I 0.5000 0.5000 0.0000 (multiplicity 1)
Br 0.5000 0.5000 0.5000 (multiplicity 1)
O 0.0000 0.5000 0.5000 (multiplicity 2)

Most stable to least stable, the ends of the list are 1) and 2).

1) SrI2BrO after structural relaxation. Source: the Alexandria database, functional PBE.

Computed properties:
As for the magnetization: 0.00 μB per atom.

Cell lengths 6.2259, 6.2259, 4.1140 Å; angles 90.00, 90.00, 90.00 degrees
Space group P4/mmm (No. 123)
Inequivalent atoms, fractional coordinates:
Sr 0.0000 0.0000 0.0000 (multiplicity 1)
I 0.0000 0.5000 0.5000 (multiplicity 2)
Br 0.5000 0.5000 0.5000 (multiplicity 1)
O 0.5000 0.5000 0.0000 (multiplicity 1)

2) SrI2BrO after structural relaxation. Source: the Alexandria database, functional PBE.

Computed properties:
As for the magnetization: 0.61 μB per atom.

Cell lengths 6.6062, 6.6062, 4.5486 Å; angles 90.00, 90.00, 90.00 degrees
Space group P4/mmm (No. 123)
Inequivalent atoms, fractional coordinates:
Sr 0.0000 0.0000 0.0000 (multiplicity 1)
I 0.0000 0.5000 0.0000 (multiplicity 2)
Br 0.5000 0.5000 0.5000 (multiplicity 1)
O 0.0000 0.0000 0.5000 (multiplicity 1)

Most stable to least stable, the ends of the list are 2) and 1).

1) TaI2BrO after structural relaxation. Source: the Alexandria database, functional PBE.

Computed properties:
As for the magnetization: 0.00 μB per atom.

Cell lengths 5.6709, 5.6709, 3.9118 Å; angles 90.00, 90.00, 90.00 degrees
Space group P4/mmm (No. 123)
Inequivalent atoms, fractional coordinates:
Ta 0.0000 0.0000 0.0000 (multiplicity 1)
I 0.0000 0.5000 0.0000 (multiplicity 2)
Br 0.5000 0.5000 0.5000 (multiplicity 1)
O 0.0000 0.0000 0.5000 (multiplicity 1)

2) TaI2BrO after structural relaxation. Source: the Alexandria database, functional PBE.

Computed properties:
As for the magnetization: 0.48 μB per atom.

Cell lengths 6.0211, 6.0211, 3.7115 Å; angles 90.00, 90.00, 90.00 degrees
Space group P4/mmm (No. 123)
Inequivalent atoms, fractional coordinates:
Ta 0.0000 0.0000 0.0000 (multiplicity 1)
I 0.0000 0.5000 0.5000 (multiplicity 2)
Br 0.5000 0.5000 0.5000 (multiplicity 1)
O 0.5000 0.5000 0.0000 (multiplicity 1)

Most stable to least stable, the ends of the list are 1) and 2).

1) TcI2BrO after structural relaxation. Source: the Alexandria database, functional PBE.

Computed properties:
As for the magnetization: 0.00 μB per atom.

Cell lengths 5.6575, 5.6575, 3.7549 Å; angles 90.00, 90.00, 90.00 degrees
Space group P4/mmm (No. 123)
Inequivalent atoms, fractional coordinates:
Tc 0.0000 0.0000 0.0000 (multiplicity 1)
I 0.0000 0.5000 0.0000 (multiplicity 2)
Br 0.5000 0.5000 0.5000 (multiplicity 1)
O 0.0000 0.0000 0.5000 (multiplicity 1)

2) TcI2BrO after structural relaxation. Source: the Alexandria database, functional PBE.

Computed properties:
As for the magnetization: 0.88 μB per atom.

Cell lengths 6.1324, 6.1324, 3.7954 Å; angles 90.00, 90.00, 90.00 degrees
Space group P4/mmm (No. 123)
Inequivalent atoms, fractional coordinates:
Tc 0.0000 0.0000 0.0000 (multiplicity 1)
I 0.0000 0.5000 0.5000 (multiplicity 2)
Br 0.5000 0.5000 0.5000 (multiplicity 1)
O 0.5000 0.5000 0.0000 (multiplicity 1)

Most stable to least stable, the ends of the list are 1) and 2).

1) TiI2BrO after structural relaxation. Source: the Alexandria database, functional PBE.

Computed properties:
As for the magnetization: 0.00 μB per atom.

Cell lengths 5.7746, 5.7746, 3.7452 Å; angles 90.00, 90.00, 90.00 degrees
Space group P4/mmm (No. 123)
Inequivalent atoms, fractional coordinates:
Ti 0.0000 0.0000 0.0000 (multiplicity 1)
I 0.0000 0.5000 0.0000 (multiplicity 2)
Br 0.5000 0.5000 0.5000 (multiplicity 1)
O 0.0000 0.0000 0.5000 (multiplicity 1)

2) TiI2BrO after structural relaxation. Source: the Alexandria database, functional PBE.

Computed properties:
As for the magnetization: 0.47 μB per atom.

Cell lengths 6.1047, 6.1047, 3.8068 Å; angles 90.00, 90.00, 90.00 degrees
Space group P4/mmm (No. 123)
Inequivalent atoms, fractional coordinates:
Ti 0.0000 0.0000 0.0000 (multiplicity 1)
I 0.0000 0.5000 0.5000 (multiplicity 2)
Br 0.5000 0.5000 0.5000 (multiplicity 1)
O 0.5000 0.5000 0.0000 (multiplicity 1)

Most stable to least stable, the ends of the list are 1) and 2).